Density functional theory data (PBE-GGA) for a relaxed Sn5Bi2Pb12 crystal.

Cell: 13.8632 13.8632 4.6279 Å, 99.48 99.48 43.32°
Closest atoms and distances in Å follow each position.
Sites, in units of the cell vectors:
Sn 0.0000 0.0000 0.0000  4 Bi 3.45, 8 Pb 3.51-3.58
Sn 0.2056 0.2056 0.2041  2 Sn 3.46-3.48, 10 Pb 3.46-3.77
Sn 0.3074 0.3074 0.8075  10 Pb 3.44-3.75, 2 Sn 3.46-3.48
Sn 0.6926 0.6926 0.1925  10 Pb 3.44-3.75, 2 Sn 3.46-3.48
Sn 0.7944 0.7944 0.7959  2 Sn 3.46-3.48, 10 Pb 3.46-3.77
Bi 0.2502 0.7498 0.5000  8 Pb 3.38-3.68, 2 Sn 3.45
Bi 0.7498 0.2502 0.5000  8 Pb 3.38-3.68, 2 Sn 3.45
Pb 0.0519 0.5473 0.2997  6 Pb 3.41-3.77, 6 Sn 3.44-3.75
Pb 0.1042 0.1042 0.6046  4 Sn 3.46-3.52, 6 Pb 3.47-3.55, 2 Bi 3.68
Pb 0.1552 0.6495 0.9012  2 Bi 3.38-3.40, 6 Pb 3.43-3.49, 3 Sn 3.49-3.77
Pb 0.3505 0.8448 0.0988  2 Bi 3.38-3.40, 6 Pb 3.43-3.49, 3 Sn 3.49-3.77
Pb 0.4095 0.4095 0.4063  6 Pb 3.43-3.77, 2 Bi 3.44, 2 Sn 3.47-3.48
Pb 0.4527 0.9481 0.7003  6 Pb 3.41-3.77, 6 Sn 3.44-3.75
Pb 0.5473 0.0519 0.2997  6 Pb 3.41-3.77, 6 Sn 3.44-3.75
Pb 0.5905 0.5905 0.5937  6 Pb 3.43-3.77, 2 Bi 3.44, 2 Sn 3.47-3.48
Pb 0.6495 0.1552 0.9012  2 Bi 3.38-3.40, 6 Pb 3.43-3.49, 3 Sn 3.49-3.77
Pb 0.8448 0.3505 0.0988  2 Bi 3.38-3.40, 6 Pb 3.43-3.49, 3 Sn 3.49-3.77
Pb 0.8958 0.8958 0.3954  4 Sn 3.46-3.52, 6 Pb 3.47-3.55, 2 Bi 3.68
Pb 0.9481 0.4527 0.7003  6 Pb 3.41-3.77, 6 Sn 3.44-3.75

Properties
electronic total energy = -3.7548 eV/atom
ρ = 9.67 g/cm3
energy of formation = 0.049 eV per atom
space group = No. 12